Compound: SmDy3Hg4
Source: Alexandria
Functional: GGA-PBE
Structure: optimized geometry

Values from the calculation:
crystal system	tetragonal

Unit cell a=5.259 b=5.259 c=7.567 alpha=90.00 beta=90.00 gamma=90.00
Sites, in units of the cell vectors:
1 Sm 0.000 0.000 0.000
2 Dy 0.000 0.000 0.500
3 Dy 0.500 0.500 0.000
4 Dy 0.500 0.500 0.500
5 Hg 0.000 0.500 0.257
6 Hg 0.000 0.500 0.743
7 Hg 0.500 0.000 0.257
8 Hg 0.500 0.000 0.743


Compound: Sm5DyHg3
Source: Alexandria
Functional: GGA-PBE
Structure: optimized geometry

Values from the calculation:
crystal system	hexagonal

Unit cell a=9.259 b=9.259 c=7.004 alpha=90.00 beta=90.00 gamma=120.00
Sites, in units of the cell vectors:
1 Sm 0.000 0.335 0.250
2 Sm 0.000 0.665 0.750
3 Sm 0.333 0.667 0.000
4 Sm 0.333 0.667 0.500
5 Sm 0.335 0.000 0.250
6 Sm 0.335 0.335 0.750
7 Sm 0.665 0.000 0.750
8 Sm 0.665 0.665 0.250
9 Sm 0.667 0.333 0.000
10 Sm 0.667 0.333 0.500
11 Dy 0.000 0.000 0.000
12 Dy 0.000 0.000 0.500
13 Hg 0.000 0.329 0.750
14 Hg 0.000 0.671 0.250
15 Hg 0.329 0.000 0.750
16 Hg 0.329 0.329 0.250
17 Hg 0.671 0.000 0.250
18 Hg 0.671 0.671 0.750


Compound: SmDy2Hg
Source: Alexandria
Functional: GGA-PBE
Structure: optimized geometry

Values from the calculation:
crystal system	tetragonal
excess energy over the best structure of this formula in the dataset	0.29	eV per formula unit

Unit cell a=4.842 b=4.842 c=4.810 alpha=90.00 beta=90.00 gamma=90.00
Sites, in units of the cell vectors:
1 Sm 0.000 0.000 0.000
2 Dy 0.000 0.500 0.500
3 Dy 0.500 0.000 0.500
4 Hg 0.500 0.500 0.000


Compound: Sm5DyHg2
Source: Alexandria
Functional: GGA-PBE
Structure: optimized geometry

Values from the calculation:
crystal system	orthorhombic

Unit cell a=8.346 b=8.346 c=8.346 alpha=154.30 beta=100.98 gamma=84.75
Sites, in units of the cell vectors:
1 Sm 0.000 0.000 0.000
2 Sm 0.082 0.362 0.720
3 Sm 0.358 0.638 0.720
4 Sm 0.642 0.362 0.280
5 Sm 0.918 0.638 0.280
6 Dy 0.500 0.000 0.500
7 Hg 0.273 0.273 0.000
8 Hg 0.727 0.727 0.000


Compound: Sm3DyHg
Source: Alexandria
Functional: GGA-PBE
Structure: optimized geometry

Values from the calculation:
crystal system	monoclinic
excess energy over the best structure of this formula in the dataset	0.00	eV per formula unit

Unit cell a=15.083 b=15.083 c=5.564 alpha=90.15 beta=90.15 gamma=14.17
Sites, in units of the cell vectors:
1 Sm 0.048 0.048 0.244
2 Sm 0.129 0.129 0.747
3 Sm 0.339 0.339 0.751
4 Sm 0.661 0.661 0.249
5 Sm 0.871 0.871 0.253
6 Sm 0.952 0.952 0.756
7 Dy 0.267 0.267 0.250
8 Dy 0.733 0.733 0.750
9 Hg 0.459 0.459 0.259
10 Hg 0.541 0.541 0.741


Compound: Sm2DyHg
Source: Alexandria
Functional: GGA-PBE
Structure: optimized geometry

Values from the calculation:
crystal system	cubic
excess energy over the best structure of this formula in the dataset	0.64	eV per formula unit

Unit cell a=5.474 b=5.474 c=5.474 alpha=60.00 beta=60.00 gamma=60.00
Sites, in units of the cell vectors:
1 Sm 0.250 0.250 0.250
2 Sm 0.750 0.750 0.750
3 Dy 0.000 0.000 0.000
4 Hg 0.500 0.500 0.500


Compound: SmDy4Hg2
Source: Alexandria
Functional: GGA-PBE
Structure: optimized geometry

Values from the calculation:
crystal system	trigonal

Unit cell a=10.652 b=10.652 c=10.652 alpha=27.43 beta=27.43 gamma=27.43
Sites, in units of the cell vectors:
1 Sm 0.000 0.000 0.000
2 Dy 0.203 0.203 0.203
3 Dy 0.394 0.394 0.394
4 Dy 0.606 0.606 0.606
5 Dy 0.797 0.797 0.797
6 Hg 0.101 0.101 0.101
7 Hg 0.899 0.899 0.899


Compound: SmDy2Hg
Source: Alexandria
Functional: GGA-PBE
Structure: optimized geometry

Values from the calculation:
crystal system	trigonal
excess energy over the best structure of this formula in the dataset	0.24	eV per formula unit

Unit cell a=10.817 b=10.817 c=10.817 alpha=19.30 beta=19.30 gamma=19.30
Sites, in units of the cell vectors:
1 Sm 0.000 0.000 0.000
2 Dy 0.242 0.242 0.242
3 Dy 0.758 0.758 0.758
4 Hg 0.500 0.500 0.500


no.,formation energy from the elements (eV per atom)
1,-0.48
2,-0.29
3,-0.16
4,-0.15
5,-0.18
6,-0.07
7,0.03
8,-0.17